# PBE+U Mn2AlTeO, optimized geometry
# final energy	-27.44	eV per cell
data_Mn2AlTeO
_cell_length_a 5.4840
_cell_length_b 5.4840
_cell_length_c 3.5450
_cell_angle_alpha 90.00
_cell_angle_beta 90.00
_cell_angle_gamma 90.00
_symmetry_space_group_name_H-M 'P 4/m m m'
_symmetry_Int_Tables_number 123
_symmetry_space_group_name_Hall '-P 4 2'
loop_
_atom_site_label
_atom_site_fract_x
_atom_site_fract_y
_atom_site_fract_z
Mn1 0.0000 0.5000 0.0000
Al1 0.0000 0.0000 0.0000
Te1 0.5000 0.5000 0.5000
O1 0.0000 0.0000 0.5000